Entry from Alexandria: crystalline TlPt2Cl at its relaxed geometry (PBE).

Output
* DOS at the Fermi energy: 0.510 states/eV per atom
* ΔE_f (raw): 6.10 kcal/mol of atoms
* space group: No. 122
* E: -3.809 eV/atom
* V: 322 Å³ per cell

Lattice parameters (Å, degrees): 4.105 4.105 19.089 90.00 90.00 90.00
Positions (direct):
Tl 0.000 0.000 0.000
Tl 0.000 0.500 0.250
Tl 0.500 0.000 0.750
Tl 0.500 0.500 0.500
Pt 0.245 0.250 0.625
Pt 0.250 0.745 0.875
Pt 0.250 0.755 0.375
Pt 0.255 0.250 0.125
Pt 0.745 0.750 0.125
Pt 0.750 0.245 0.375
Pt 0.750 0.255 0.875
Pt 0.755 0.750 0.625
Cl 0.000 0.000 0.500
Cl 0.000 0.500 0.750
Cl 0.500 0.000 0.250
Cl 0.500 0.500 0.000


Entry from Alexandria: crystalline TlPt2Cl at its relaxed geometry (PBE).

Output
* DOS at the Fermi energy: 1.140 states/eV per atom
* ΔE_f (raw): 6.20 kcal/mol of atoms
* space group: No. 47
* E: -3.805 eV/atom
* V: 75 Å³ per cell

Lattice parameters (Å, degrees): 2.995 4.789 5.258 90.00 90.00 90.00
Positions (direct):
Tl 0.000 0.000 0.000
Pt 0.000 0.500 0.500
Pt 0.500 0.500 0.000
Cl 0.500 0.000 0.500


no.,E above lowest polymorph (meV/atom)
1,210.0
2,214.6